Compound: Ba4HgAs
Source: Alexandria
Functional: meta-GGA SCAN
Structure: PBEsol geometry

CIF file:
```
data_Ba4HgAs
_cell_length_a 9.7350
_cell_length_b 9.7350
_cell_length_c 9.7350
_cell_angle_alpha 90.00
_cell_angle_beta 90.00
_cell_angle_gamma 90.00
_space_group_name_H-M_alt 'F -4 3 m'
_space_group_IT_number 216
_space_group_name_Hall 'F -4 2 3'
loop_
_atom_site_label
_atom_site_type_symbol
_atom_site_fract_x
_atom_site_fract_y
_atom_site_fract_z
Ba1 Ba 0.1236 0.1236 0.3764
Hg1 Hg 0.0000 0.0000 0.0000
As1 As 0.2500 0.2500 0.7500
```

Output
- raw total energy (eV per atom) = -40.9002
- M_tot (μB/atom) = 0.424
- calculated volume (A^3/atom) = 38.44
- DOS(E_F) (states/eV/f.u.) = 4.76
- ΔH_f (0 K) (eV/atom) = 0.193



Compound: BaHg2As
Source: Alexandria
Functional: meta-GGA SCAN
Structure: PBEsol geometry

CIF file:
```
data_BaHg2As
_cell_length_a 6.4209
_cell_length_b 7.0408
_cell_length_c 5.2189
_cell_angle_alpha 90.00
_cell_angle_beta 90.00
_cell_angle_gamma 90.00
_space_group_name_H-M_alt 'C m m m'
_space_group_IT_number 65
_space_group_name_Hall '-C 2 2'
loop_
_atom_site_label
_atom_site_type_symbol
_atom_site_fract_x
_atom_site_fract_y
_atom_site_fract_z
Ba1 Ba 0.0000 0.0000 0.0000
Hg1 Hg 0.0000 0.2960 0.5000
As1 As 0.0000 0.5000 0.0000
```

Output
- raw total energy (eV per atom) = -49.5315
- M_tot (μB/atom) = 0.000
- calculated volume (A^3/atom) = 29.49
- DOS(E_F) (states/eV/f.u.) = 2.06
- ΔH_f (0 K) (eV/atom) = -0.513



> Which of these has the highest DOS(E_F)?

Ba4HgAs